Computed, not measured: a relaxed CdRhW crystal at the GGA-PBE level of DFT.

Cell lengths 4.3763, 4.3763, 4.3763 Å; angles 60.00, 60.00, 60.00 degrees
Positions (direct):
Cd: 0.0000 0.0000 0.0000
Rh: 0.5000 0.5000 0.5000
W: 0.2500 0.2500 0.2500

Results
N(E_F) in states/eV per cell: 3.52
E_form in eV/atom: 0.94
Volume in Å³/cell: 59.3
Space group: F-43m (216)
E above lowest polymorph in meV per atom: 1042
Magnetization in μB/f.u.: 0.89
VASP energy in Ry/atom: -0.4509